[1]
ZrTaNO: optimized geometry, PBE.

Values from the calculation:
The calculation puts the spin magnetization at 0.0 μB per formula unit. The calculation puts the energy relative to the lowest polymorph listed for this composition at 0.315 eV per atom.

CIF file:
```
data_ZrTaNO
_chemical_formula_sum 'Zr2 Ta2 N2 O2'
_symmetry_space_group_name_H-M 'P 4/n m m'
_symmetry_Int_Tables_number 129
_cell_length_a 3.651
_cell_length_b 3.651
_cell_length_c 7.644
_cell_angle_alpha 90.00
_cell_angle_beta 90.00
_cell_angle_gamma 90.00
loop_
_symmetry_equiv_pos_as_xyz
'x,y,z'
'-x,-y,-z'
'-y+1/2,x,z'
'y+1/2,-x,-z'
'-x+1/2,-y+1/2,z'
'x+1/2,y+1/2,-z'
'y,-x+1/2,z'
'-y,x+1/2,-z'
'x+1/2,-y,-z'
'-x+1/2,y,z'
'-y,-x,-z'
'y,x,z'
'-x,y+1/2,-z'
'x,-y+1/2,z'
'y+1/2,x+1/2,-z'
'-y+1/2,-x+1/2,z'
loop_
_atom_site_label
_atom_site_type_symbol
_atom_site_fract_x
_atom_site_fract_y
_atom_site_fract_z
_atom_site_occupancy
Zr1 Zr 0.250 0.250 0.154 1
Ta1 Ta 0.250 0.750 0.500 1
N1 N 0.250 0.250 0.690 1
O1 O 0.250 0.750 0.000 1
```

[2]
ZrTaNO: optimized geometry, PBE.

Values from the calculation:
The calculation puts the spin magnetization at 0.0 μB per formula unit. The calculation puts the energy relative to the lowest polymorph listed for this composition at 0.035 eV per atom.

CIF file:
```
data_ZrTaNO
_chemical_formula_sum 'Zr4 Ta4 N4 O4'
_symmetry_space_group_name_H-M 'P b c m'
_symmetry_Int_Tables_number 57
_cell_length_a 7.766
_cell_length_b 6.178
_cell_length_c 4.404
_cell_angle_alpha 90.00
_cell_angle_beta 90.00
_cell_angle_gamma 90.00
loop_
_symmetry_equiv_pos_as_xyz
'x,y,z'
'-x,-y,-z'
'-x,-y,z+1/2'
'x,y,-z+1/2'
'x,-y+1/2,-z'
'-x,y+1/2,z'
'-x,y+1/2,-z+1/2'
'x,-y+1/2,z+1/2'
loop_
_atom_site_label
_atom_site_type_symbol
_atom_site_fract_x
_atom_site_fract_y
_atom_site_fract_z
_atom_site_occupancy
Zr1 Zr 0.149 0.089 0.250 1
Ta1 Ta 0.391 0.561 0.250 1
N1 N 0.375 0.602 0.750 1
O1 O 0.121 0.045 0.750 1
```

[3]
ZrTaNO: optimized geometry, PBE.

Values from the calculation:
The calculation puts the spin magnetization at 0.0 μB per formula unit. The calculation puts the energy relative to the lowest polymorph listed for this composition at 0.000 eV per atom.

CIF file:
```
data_ZrTaNO
_chemical_formula_sum 'Zr2 Ta2 N2 O2'
_symmetry_space_group_name_H-M 'P m c 21'
_symmetry_Int_Tables_number 26
_cell_length_a 3.205
_cell_length_b 5.929
_cell_length_c 5.732
_cell_angle_alpha 90.00
_cell_angle_beta 90.00
_cell_angle_gamma 90.00
loop_
_symmetry_equiv_pos_as_xyz
'x,y,z'
'-x,-y,z+1/2'
'-x,y,z'
'x,-y,z+1/2'
loop_
_atom_site_label
_atom_site_type_symbol
_atom_site_fract_x
_atom_site_fract_y
_atom_site_fract_z
_atom_site_occupancy
Zr1 Zr 0.000 0.165 0.000 1
Ta1 Ta 0.500 0.399 0.403 1
N1 N 0.000 0.179 0.364 1
O1 O 0.500 0.277 0.757 1
```

Question: spin magnetization of number 2 (ZrTaNO)?
Answer: 0.0 μB per formula unit

Question: Among the records above, which one has the highest energy relative to the lowest polymorph listed for this composition?
Answer: number 1

Copy entry 3 word for word.
ZrTaNO: optimized geometry, PBE.

Values from the calculation:
The calculation puts the spin magnetization at 0.0 μB per formula unit. The calculation puts the energy relative to the lowest polymorph listed for this composition at 0.000 eV per atom.

CIF file:
```
data_ZrTaNO
_chemical_formula_sum 'Zr2 Ta2 N2 O2'
_symmetry_space_group_name_H-M 'P m c 21'
_symmetry_Int_Tables_number 26
_cell_length_a 3.205
_cell_length_b 5.929
_cell_length_c 5.732
_cell_angle_alpha 90.00
_cell_angle_beta 90.00
_cell_angle_gamma 90.00
loop_
_symmetry_equiv_pos_as_xyz
'x,y,z'
'-x,-y,z+1/2'
'-x,y,z'
'x,-y,z+1/2'
loop_
_atom_site_label
_atom_site_type_symbol
_atom_site_fract_x
_atom_site_fract_y
_atom_site_fract_z
_atom_site_occupancy
Zr1 Zr 0.000 0.165 0.000 1
Ta1 Ta 0.500 0.399 0.403 1
N1 N 0.000 0.179 0.364 1
O1 O 0.500 0.277 0.757 1
```

Question: What is the energy relative to the lowest polymorph listed for this composition in the first record?
Answer: 0.315 eV per atom